1.
First-principles (PBE) data for a relaxed SrAcPm crystal, as listed in Alexandria via LeMat-Bulk.

POSCAR file:
```
SrAcPm
1.0
3.948 0.000 0.000
0.000 3.948 0.000
-1.974 -1.974 8.371
Sr Ac Pm
1 1 1
Cartesian
1.974 1.974 8.289
1.974 1.974 3.008
0.000 0.000 5.444
```

The symmetry is I4mm. The value obtained for the calculated volume is 43.49 Å³/atom.

***

2.
First-principles (PBE) data for a relaxed SrAcPm crystal, as listed in Alexandria via LeMat-Bulk.

POSCAR file:
```
SrAcPm
1.0
3.865 0.000 -0.567
0.000 6.241 0.000
-0.376 0.000 10.890
Sr Pm Ac
2 2 2
Cartesian
0.661 4.681 4.508
2.827 1.560 5.815
2.078 4.681 0.711
1.410 1.560 9.612
0.320 1.560 2.182
3.169 4.681 8.140
```

The symmetry is Cmcm. The value obtained for the calculated volume is 43.56 Å³/atom.

***

Which structure above is the least stable one? 2 is the least stable one.